Record 1
# YIr PBE relaxed
data_YIr
_cell_length_a 7.668
_cell_length_b 7.668
_cell_length_c 7.668
_cell_angle_alpha 90.00
_cell_angle_beta 90.00
_cell_angle_gamma 90.00
_symmetry_space_group_name_H-M 'P m -3 n'
_symmetry_Int_Tables_number 223
_symmetry_space_group_name_Hall '-P 4n 2 3'
loop_
_atom_site_label
_atom_site_type_symbol
_atom_site_fract_x
_atom_site_fract_y
_atom_site_fract_z
Y1 Y 0.000 0.250 0.500
Ir1 Ir 0.000 0.500 0.250
# **Theoretical density**: 6.21 g cm⁻³
# **ΔH_f (0 K)**: 356 meV per atom
# **Size of the total moment**: 0.000 μB/atom
# **Total DFT energy (no corrections)**: -7.31 eV per atom

***

Record 2
# YIr PBE relaxed
data_YIr
_cell_length_a 5.501
_cell_length_b 5.675
_cell_length_c 10.917
_cell_angle_alpha 90.00
_cell_angle_beta 90.00
_cell_angle_gamma 90.00
_symmetry_space_group_name_H-M 'P 21 21 21'
_symmetry_Int_Tables_number 19
_symmetry_space_group_name_Hall 'P 2ac 2ab'
loop_
_atom_site_label
_atom_site_type_symbol
_atom_site_fract_x
_atom_site_fract_y
_atom_site_fract_z
Y1 Y 0.131 0.076 0.018
Y2 Y 0.146 0.638 0.806
Ir1 Ir 0.149 0.863 0.272
Ir2 Ir 0.151 0.581 0.072
# **Theoretical density**: 10.96 g cm⁻³
# **DOS(E_F)**: 8.74 states/eV per cell
# **ΔH_f (0 K)**: -711 meV per atom
# **Size of the total moment**: 0.000 μB/atom
# **Total DFT energy (no corrections)**: -8.37 eV per atom

***

Record 3
# YIr2 PBE relaxed
data_YIr2
_cell_length_a 9.673
_cell_length_b 5.243
_cell_length_c 4.627
_cell_angle_alpha 90.00
_cell_angle_beta 90.00
_cell_angle_gamma 90.00
_symmetry_space_group_name_H-M 'C m c m'
_symmetry_Int_Tables_number 63
_symmetry_space_group_name_Hall '-C 2c 2'
loop_
_atom_site_label
_atom_site_type_symbol
_atom_site_fract_x
_atom_site_fract_y
_atom_site_fract_z
Y1 Y 0.000 0.247 0.250
Ir1 Ir 0.215 0.136 0.750
# **Theoretical density**: 13.40 g cm⁻³
# **DOS(E_F)**: 13.14 states/eV per cell
# **ΔH_f (0 K)**: -481 meV per atom
# **Size of the total moment**: 0.000 μB/atom
# **Total DFT energy (no corrections)**: -8.54 eV per atom

***

Record 4
# Y2Ir5 PBE relaxed
data_Y2Ir5
_cell_length_a 12.049
_cell_length_b 5.844
_cell_length_c 7.580
_cell_angle_alpha 90.00
_cell_angle_beta 94.22
_cell_angle_gamma 90.00
_symmetry_space_group_name_H-M 'C 1 2/c 1'
_symmetry_Int_Tables_number 15
_symmetry_space_group_name_Hall '-C 2yc'
loop_
_atom_site_label
_atom_site_type_symbol
_atom_site_fract_x
_atom_site_fract_y
_atom_site_fract_z
Y1 Y 0.104 0.208 0.468
Ir1 Ir 0.000 0.431 0.750
Ir2 Ir 0.142 0.271 0.988
Ir3 Ir 0.237 0.498 0.247
# **Theoretical density**: 14.21 g cm⁻³
# **DOS(E_F)**: 25.50 states/eV per cell
# **ΔH_f (0 K)**: -345 meV per atom
# **Size of the total moment**: 0.000 μB/atom
# **Total DFT energy (no corrections)**: -8.52 eV per atom

***

Record 5
# YIr PBE relaxed
data_YIr
_cell_length_a 8.305
_cell_length_b 8.305
_cell_length_c 5.357
_cell_angle_alpha 90.00
_cell_angle_beta 90.00
_cell_angle_gamma 90.00
_symmetry_space_group_name_H-M 'I 4/m'
_symmetry_Int_Tables_number 87
_symmetry_space_group_name_Hall '-I 4'
loop_
_atom_site_label
_atom_site_type_symbol
_atom_site_fract_x
_atom_site_fract_y
_atom_site_fract_z
Y1 Y 0.055 0.300 0.000
Ir1 Ir 0.072 0.208 0.500
# **Theoretical density**: 10.11 g cm⁻³
# **DOS(E_F)**: 12.83 states/eV per cell
# **ΔH_f (0 K)**: -418 meV per atom
# **Size of the total moment**: 0.000 μB/atom
# **Total DFT energy (no corrections)**: -8.08 eV per atom

***

Record 6
# YIr PBE relaxed
data_YIr
_cell_length_a 10.270
_cell_length_b 3.999
_cell_length_c 7.046
_cell_angle_alpha 90.00
_cell_angle_beta 108.90
_cell_angle_gamma 90.00
_symmetry_space_group_name_H-M 'C 1 m 1'
_symmetry_Int_Tables_number 8
_symmetry_space_group_name_Hall 'C -2y'
loop_
_atom_site_label
_atom_site_type_symbol
_atom_site_fract_x
_atom_site_fract_y
_atom_site_fract_z
Y1 Y 0.000 0.000 0.000
Y2 Y 0.141 0.500 0.706
Y3 Y 0.345 0.500 0.371
Ir1 Ir 0.149 0.000 0.400
Ir2 Ir 0.286 0.000 0.046
Ir3 Ir 0.363 0.000 0.719
# **Theoretical density**: 10.23 g cm⁻³
# **DOS(E_F)**: 5.85 states/eV per cell
# **ΔH_f (0 K)**: -591 meV per atom
# **Size of the total moment**: 0.000 μB/atom
# **Total DFT energy (no corrections)**: -8.25 eV per atom

***

Record 7
# Y5Ir3 PBE relaxed
data_Y5Ir3
_cell_length_a 6.252
_cell_length_b 15.661
_cell_length_c 8.427
_cell_angle_alpha 90.00
_cell_angle_beta 111.68
_cell_angle_gamma 90.00
_symmetry_space_group_name_H-M 'C 1 m 1'
_symmetry_Int_Tables_number 8
_symmetry_space_group_name_Hall 'C -2y'
loop_
_atom_site_label
_atom_site_type_symbol
_atom_site_fract_x
_atom_site_fract_y
_atom_site_fract_z
Y1 Y 0.000 0.000 0.000
Y2 Y 0.000 0.500 0.000
Y3 Y 0.072 0.186 0.788
Y4 Y 0.285 0.186 0.211
Y5 Y 0.365 0.394 0.373
Y6 Y 0.492 0.106 0.627
Ir1 Ir 0.129 0.000 0.689
Ir2 Ir 0.184 0.250 0.500
Ir3 Ir 0.284 0.345 0.000
Ir4 Ir 0.439 0.000 0.311
# **Theoretical density**: 8.85 g cm⁻³
# **DOS(E_F)**: 20.27 states/eV per cell
# **ΔH_f (0 K)**: -718 meV per atom
# **E above lowest polymorph**: 5.2 kJ/mol of atoms
# **Size of the total moment**: 0.000 μB/atom
# **Total DFT energy (no corrections)**: -8.08 eV per atom

***

Record 8
# Y5Ir PBE relaxed
data_Y5Ir
_cell_length_a 6.0652
_cell_length_b 6.0652
_cell_length_c 5.0560
_cell_angle_alpha 90.00
_cell_angle_beta 90.00
_cell_angle_gamma 120.00
_symmetry_space_group_name_H-M 'P -6 2 m'
_symmetry_Int_Tables_number 189
_symmetry_space_group_name_Hall 'P -6 -2'
loop_
_atom_site_label
_atom_site_type_symbol
_atom_site_fract_x
_atom_site_fract_y
_atom_site_fract_z
Y1 Y 0.0000 0.7037 0.0000
Y2 Y 0.3333 0.6667 0.5000
Ir1 Ir 0.0000 0.0000 0.5000
# **Theoretical density**: 6.56 g cm⁻³
# **DOS(E_F)**: 4.03 states/eV per cell
# **ΔH_f (0 K)**: -79 meV per atom
# **E above lowest polymorph**: 19.9 kJ/mol of atoms
# **Size of the total moment**: 0.000 μB/atom
# **Total DFT energy (no corrections)**: -6.94 eV per atom

***

Please write out number 1 again, unchanged.
# YIr PBE relaxed
data_YIr
_cell_length_a 7.668
_cell_length_b 7.668
_cell_length_c 7.668
_cell_angle_alpha 90.00
_cell_angle_beta 90.00
_cell_angle_gamma 90.00
_symmetry_space_group_name_H-M 'P m -3 n'
_symmetry_Int_Tables_number 223
_symmetry_space_group_name_Hall '-P 4n 2 3'
loop_
_atom_site_label
_atom_site_type_symbol
_atom_site_fract_x
_atom_site_fract_y
_atom_site_fract_z
Y1 Y 0.000 0.250 0.500
Ir1 Ir 0.000 0.500 0.250
# **Theoretical density**: 6.21 g cm⁻³
# **ΔH_f (0 K)**: 356 meV per atom
# **Size of the total moment**: 0.000 μB/atom
# **Total DFT energy (no corrections)**: -7.31 eV per atom